VASP calculation (PBE) on crystalline Os at its relaxed geometry.

Lattice parameters (Å, degrees): 2.7137 2.7137 2.7276 119.83 119.83 90.00
Atoms (fractional coordinates):
Os 0.0000 0.0000 0.0000

Output
energy of formation from the pure elements: 0.138 eV per atom
total magnetization: 0.00 μB/f.u.
excess energy over the best structure of this formula in the dataset: 138 meV/atom
uncorrected energy: -11.087 eV/atom

=====

VASP calculation (PBE) on crystalline NaIrAuSe3 at its relaxed geometry.

Lattice parameters (Å, degrees): 3.6906 7.8039 9.9337 90.00 90.00 76.32
Atoms (fractional coordinates):
Au 0.3660 0.2679 0.2500
Au 0.6340 0.7321 0.7500
Ir 0.0000 0.0000 0.0000
Ir 0.0000 0.0000 0.5000
Na 0.7127 0.5746 0.2500
Na 0.2873 0.4254 0.7500
Se 0.3861 0.2278 0.0077
Se 0.0458 0.9083 0.2500
Se 0.3861 0.2278 0.4923
Se 0.6139 0.7722 0.5077
Se 0.9542 0.0917 0.7500
Se 0.6139 0.7722 0.9923

Output
total magnetization: 0.00 μB/f.u.
uncorrected energy: -4.282 eV/atom

=====

VASP calculation (PBE) on crystalline KTmPO at its relaxed geometry.

Lattice parameters (Å, degrees): 3.9464 3.9464 10.4871 90.00 90.00 90.00
Atoms (fractional coordinates):
K 0.7500 0.2500 0.5000
K 0.2500 0.7500 0.5000
O 0.7500 0.2500 0.0000
O 0.2500 0.7500 0.0000
P 0.7500 0.7500 0.2701
P 0.2500 0.2500 0.7299
Tm 0.2500 0.2500 0.0975
Tm 0.7500 0.7500 0.9025

Output
total magnetization: 0.00 μB/f.u.
excess energy over the best structure of this formula in the dataset: 144 meV/atom
uncorrected energy: -5.386 eV/atom

=====

VASP calculation (PBE) on crystalline AcNdIn at its relaxed geometry.

Lattice parameters (Å, degrees): 5.4892 5.4892 5.4892 60.00 60.00 60.00
Each line ends with the local moment (μB).
Atoms (fractional coordinates):
Ac 0.5000 0.5000 0.5000  0.10
In 0.2500 0.2500 0.2500  -0.01
Nd 0.0000 0.0000 0.0000  0.18

Output
total magnetization: 0.80 μB/f.u.
excess energy over the best structure of this formula in the dataset: 0 meV/atom
uncorrected energy: -3.976 eV/atom

=====

VASP calculation (PBE) on crystalline PrInGaSe3 at its relaxed geometry.

Lattice parameters (Å, degrees): 7.1301 7.1301 11.3693 90.00 90.00 141.94
Atoms (fractional coordinates):
Ga 0.0187 0.9813 0.2500
Ga 0.9813 0.0187 0.7500
In 0.7541 0.2459 0.2500
In 0.2459 0.7541 0.7500
Pr 0.5000 0.5000 0.0000
Pr 0.5000 0.5000 0.5000
Se 0.1339 0.8661 0.0732
Se 0.4315 0.5685 0.2500
Se 0.1339 0.8661 0.4268
Se 0.8661 0.1339 0.5732
Se 0.5685 0.4315 0.7500
Se 0.8661 0.1339 0.9268

Output
total magnetization: 0.00 μB/f.u.
uncorrected energy: -4.415 eV/atom

=====

VASP calculation (PBE) on crystalline NdHoSn at its relaxed geometry.

Lattice parameters (Å, degrees): 5.2040 5.2040 5.2040 60.00 60.00 60.00
Atoms (fractional coordinates):
Ho 0.5000 0.5000 0.5000
Nd 0.0000 0.0000 0.0000
Sn 0.2500 0.2500 0.2500

Output
total magnetization: 0.02 μB/f.u.
excess energy over the best structure of this formula in the dataset: 0 meV/atom
uncorrected energy: -4.853 eV/atom

=====

VASP calculation (PBE) on crystalline LiZrFeSb at its relaxed geometry.

Lattice parameters (Å, degrees): 4.4381 4.4381 4.4381 60.00 60.00 60.00
Atoms (fractional coordinates):
Fe 0.2500 0.2500 0.2500
Li 0.7500 0.7500 0.7500
Sb 0.5000 0.5000 0.5000
Zr 0.0000 0.0000 0.0000

Output
total magnetization: 0.00 μB/f.u.
excess energy over the best structure of this formula in the dataset: 0 meV/atom
uncorrected energy: -6.142 eV/atom

=====

VASP calculation (PBE) on crystalline Ho4TlB2S at its relaxed geometry.

Lattice parameters (Å, degrees): 3.6837 3.6837 15.1472 90.00 90.00 120.00
Each line ends with the local moment (μB).
Atoms (fractional coordinates):
B 0.6667 0.3333 0.2238  0.01
B 0.6667 0.3333 0.7762  0.01
Ho 0.3333 0.6667 0.1217  0.02
Ho 0.0000 0.0000 0.3219  0.07
Ho 0.0000 0.0000 0.6781  0.07
Ho 0.3333 0.6667 0.8783  0.02
S 0.0000 0.0000 0.0000  0.00
Tl 0.3333 0.6667 0.5000  0.03

Output
total magnetization: 0.36 μB/f.u.
uncorrected energy: -5.323 eV/atom

=====

VASP calculation (PBE) on crystalline AcTmBe at its relaxed geometry.

Lattice parameters (Å, degrees): 5.0914 5.0914 5.0914 60.00 60.00 60.00
Atoms (fractional coordinates):
Ac 0.0000 0.0000 0.0000
Be 0.2500 0.2500 0.2500
Tm 0.7500 0.7500 0.7500

Output
total magnetization: 0.00 μB/f.u.
excess energy over the best structure of this formula in the dataset: 755 meV/atom
uncorrected energy: -2.986 eV/atom

=====

VASP calculation (PBE) on crystalline TbSbAs at its relaxed geometry.

Lattice parameters (Å, degrees): 4.8977 4.8977 4.8977 60.00 60.00 60.00
Atoms (fractional coordinates):
As 0.0000 0.0000 0.0000
Sb 0.2500 0.2500 0.2500
Tb 0.7500 0.7500 0.7500

Output
total magnetization: 0.01 μB/f.u.
excess energy over the best structure of this formula in the dataset: 0 meV/atom
uncorrected energy: -4.881 eV/atom

=====

VASP calculation (PBE) on crystalline LiHfAlNi at its relaxed geometry.

Lattice parameters (Å, degrees): 4.3813 4.3813 4.3813 60.00 60.00 60.00
Atoms (fractional coordinates):
Al 0.0000 0.0000 0.0000
Hf 0.2500 0.2500 0.2500
Li 0.5000 0.5000 0.5000
Ni 0.7500 0.7500 0.7500

Output
total magnetization: 0.00 μB/f.u.
excess energy over the best structure of this formula in the dataset: 383 meV/atom
uncorrected energy: -5.388 eV/atom

=====

VASP calculation (PBE) on crystalline Y4CoSiN2 at its relaxed geometry.

Lattice parameters (Å, degrees): 3.4654 3.4654 13.9385 90.00 90.00 120.00
Each line ends with the local moment (μB).
Atoms (fractional coordinates):
Co 0.0000 0.0000 0.0000  -0.34
N 0.3333 0.6667 0.2475  0.01
N 0.3333 0.6667 0.7525  0.01
Si 0.6667 0.3333 0.5000  -0.01
Y 0.6667 0.3333 0.1411  0.09
Y 0.0000 0.0000 0.3396  0.01
Y 0.0000 0.0000 0.6604  0.01
Y 0.6667 0.3333 0.8589  0.09

Output
total magnetization: 0.12 μB/f.u.
excess energy over the best structure of this formula in the dataset: 6 meV/atom
uncorrected energy: -7.707 eV/atom